{"formula": "Fe5I12Cl2", "functional": "PBE", "state": "relaxed", "formation_energy_uncorrected_ev_per_atom": -0.156, "crystal_system": "monoclinic", "magmom_total_mub_per_fu": 22.85, "vol_a3_per_cell": 935.14, "cell": [[7.462, -7.614, 0.000], [7.462, 7.614, 0.000], [-6.998, 0.000, 8.230]], "species": ["Fe", "Fe", "Fe", "Fe", "Fe", "I", "I", "I", "I", "I", "I", "I", "I", "I", "I", "I", "I", "Cl", "Cl"], "frac_coords": [[0.000, 0.000, 0.000], [0.231, 0.231, 0.005], [0.359, 0.359, 0.421], [0.641, 0.641, 0.579], [0.769, 0.769, 0.995], [0.010, 0.010, 0.746], [0.068, 0.307, 0.177], [0.204, 0.458, 0.985], [0.307, 0.068, 0.177], [0.332, 0.332, 0.626], [0.458, 0.204, 0.985], [0.542, 0.796, 0.015], [0.668, 0.668, 0.374], [0.693, 0.932, 0.823], [0.796, 0.542, 0.015], [0.932, 0.693, 0.823], [0.990, 0.990, 0.254], [0.392, 0.608, 0.500], [0.608, 0.392, 0.500]]}

{"formula": "LiMoPt3", "functional": "PBE", "state": "relaxed", "crystal_system": "cubic", "magmom_total_mub_per_fu": 3.01, "delta_e_f_ev_per_atom": 0.482, "vol_a3_per_cell": 75.94, "de_polymorph_ev_per_atom": 0.000, "cell": [[4.235, 0.000, 0.000], [0.000, 4.235, 0.000], [0.000, 0.000, 4.235]], "species": ["Li", "Mo", "Pt", "Pt", "Pt"], "frac_coords": [[0.000, 0.000, 0.000], [0.500, 0.500, 0.500], [0.000, 0.000, 0.500], [0.000, 0.500, 0.000], [0.500, 0.000, 0.000]]}